Record 1
## Gd3Rh5N12 (PBE-GGA)

Data for a relaxed structure of Gd3Rh5N12.

extended XYZ file:
```
80
Lattice="-6.3366 6.3366 6.3366 6.3366 -6.3366 6.3366 6.3366 6.3366 -6.3366" Properties=species:S:1:pos:R:3 pbc="T T T"
Gd 3.1683 1.5841 0.0000
Gd 6.3366 3.1683 -1.5841
Gd 1.5841 0.0000 3.1683
Gd 7.9207 0.0000 3.1683
Gd 0.0000 3.1683 1.5841
Gd 3.1683 -1.5841 6.3366
Gd 3.1683 7.9207 0.0000
Gd 6.3366 3.1683 4.7524
Gd -1.5841 6.3366 3.1683
Gd 4.7524 6.3366 3.1683
Gd 0.0000 3.1683 7.9207
Gd 3.1683 4.7524 6.3366
Rh 0.0000 0.0000 0.0000
Rh 3.1683 3.1683 -3.1683
Rh 3.1683 -3.1683 3.1683
Rh 6.3366 0.0000 0.0000
Rh 9.5049 1.5841 0.0000
Rh 6.3366 -3.1683 4.7524
Rh 4.7524 6.3366 -3.1683
Rh 4.7524 0.0000 3.1683
Rh 3.1683 4.7524 0.0000
Rh 6.3366 3.1683 1.5841
Rh -3.1683 3.1683 3.1683
Rh 0.0000 6.3366 0.0000
Rh 0.0000 0.0000 6.3366
Rh 3.1683 3.1683 3.1683
Rh 0.0000 3.1683 4.7524
Rh 3.1683 1.5841 6.3366
Rh 1.5841 6.3366 3.1683
Rh 1.5841 0.0000 9.5049
Rh 0.0000 9.5049 1.5841
Rh -3.1683 4.7524 6.3366
N 1.8971 -0.4055 0.7097
N 7.6078 3.8780 -3.5738
N 8.2336 0.4055 0.7097
N 7.6078 -2.4585 3.5738
N 5.9310 -0.7097 1.8971
N 9.9104 -1.2712 2.4585
N 0.7097 1.8971 -0.4055
N 8.7951 2.7627 -1.2712
N 3.8780 3.5738 -1.2712
N 5.6268 1.8971 0.4055
N -0.4055 0.7097 1.8971
N 3.5738 -1.2712 3.8780
N 5.9310 5.6268 -1.8971
N 3.5738 1.2712 2.4585
N 3.8780 -3.5738 7.6078
N 5.6268 -1.8971 5.9310
N 2.4585 3.5738 1.2712
N 7.0463 4.4395 0.4055
N 3.5738 7.6078 -2.4585
N 5.9310 0.7097 4.4395
N 1.8971 5.9310 -0.7097
N 7.6078 2.4585 2.7627
N 1.2712 2.4585 3.5738
N 1.8971 0.4055 5.6268
N 4.4395 5.9310 0.7097
N 5.0654 3.8780 2.7627
N -1.2712 3.8780 3.5738
N 4.4395 0.4055 7.0463
N 0.4055 5.6268 1.8971
N 2.7627 -1.2712 8.7951
N -0.7097 1.8971 5.9310
N 3.8780 2.7627 5.0654
N 0.7097 8.2336 0.4055
N 2.4585 9.9104 -1.2712
N 2.7627 5.0654 3.8780
N 0.4055 0.7097 8.2336
N 2.7627 7.6078 2.4585
N 6.7421 5.6268 4.4395
N 0.7097 4.4395 5.9310
N 2.4585 2.7627 7.6078
N -2.4585 3.5738 7.6078
N 5.6268 4.4395 6.7421
N -3.5738 7.6078 3.8780
N 0.4055 7.0463 4.4395
N -1.2712 8.7951 2.7627
N -1.8971 5.9310 5.6268
N -1.2712 2.4585 9.9104
N 4.4395 6.7421 5.6268
```

Results
DOS(E_F), states/eV/f.u.: 9.26
Crystal system: cubic
Final energy, eV per formula unit: -176.21
Symmetry: Ia-3d, No. 230

Record 2
## TiReW (PBE-GGA)

Data for a relaxed structure of TiReW.

extended XYZ file:
```
3
Lattice="4.3950 0.0000 0.0000 -2.1975 3.8062 0.0000 0.0000 0.0000 2.7875" Properties=species:S:1:pos:R:3 pbc="T T T"
Ti 0.0000 0.0000 0.0000
Re 2.1975 1.2687 1.8519
W 0.0000 2.5375 0.9810
```

Results
DOS(E_F), states/eV/f.u.: 2.02
Crystal system: trigonal
Final energy, eV per formula unit: -34.03
Symmetry: P3m1, No. 156
ΔH_f (0 K), eV per atom: -0.246
Excess energy over the best structure of this formula in the dataset, meV/atom: 84

Record 3
## LiSbH2Cl8 (PBE-GGA)

Data for a relaxed structure of LiSbH2Cl8.

extended XYZ file:
```
12
Lattice="6.7439 0.0000 0.0000 0.1247 6.8063 0.0000 0.0575 0.0155 7.3708" Properties=species:S:1:pos:R:3 pbc="T T T"
Li 0.0000 0.0000 0.0000
Sb 0.0287 0.0078 3.6854
H 1.9087 1.9826 5.9599
H 5.0173 4.8393 1.4109
Cl 1.3668 5.6151 5.4005
Cl 1.4051 5.6787 1.9550
Cl 1.6853 1.7568 3.7272
Cl 1.9126 1.9640 7.2678
Cl 5.0135 4.8578 0.1030
Cl 5.2407 5.0650 3.6436
Cl 5.5210 1.1432 5.4159
Cl 5.5592 1.2068 1.9703
```

Results
DOS(E_F), states/eV/f.u.: 0.00
Crystal system: triclinic
Final energy, eV per formula unit: -37.34
Symmetry: P-1, No. 2

Record 4
## NaLiEr2 (PBE-GGA)

Data for a relaxed structure of NaLiEr2.

extended XYZ file:
```
4
Lattice="1.6754 0.9673 12.1592 -1.6754 0.9673 12.1592 0.0000 -1.9346 12.1592" Properties=species:S:1:pos:R:3 pbc="T T T"
Na 0.0000 0.0000 0.0000
Li 0.0000 0.0000 18.2389
Er 0.0000 0.0000 3.4312
Er 0.0000 0.0000 33.0465
```

Results
DOS(E_F), states/eV/f.u.: 3.40
Crystal system: trigonal
Final energy, eV per formula unit: -11.21
Symmetry: R-3m, No. 166
ΔH_f (0 K), eV per atom: 0.287